Record 1
AgSb2H (PBE, optimized geometry); crystal system = trigonal; energy above the lowest structure with this stoichiometry = 0 meV per atom; DFT total energy = -3.29 eV per atom
1.0
4.408 0.000 0.000
2.204 3.818 0.000
2.204 1.273 6.375
Sb Ag H
2 1 1
Cartesian
2.204 1.273 4.402
6.613 3.818 1.973
4.408 2.545 3.187
0.000 0.000 0.000

---

Record 2
Ag2Sb2H (PBE, optimized geometry); crystal system = tetragonal; energy above the lowest structure with this stoichiometry = 0 meV per atom; DFT total energy = -2.90 eV per atom
1.0
8.748 0.000 0.000
0.000 8.748 0.000
0.000 0.000 3.045
Sb Ag H
4 4 2
Cartesian
1.298 5.672 1.523
5.672 7.451 1.523
7.451 3.076 1.523
3.076 1.298 1.523
3.066 7.440 0.000
7.440 5.683 0.000
5.683 1.309 0.000
1.309 3.066 0.000
0.000 0.000 0.000
4.374 4.374 0.000

---

Record 3
AgSbH2 (PBE, optimized geometry); crystal system = cubic; energy above the lowest structure with this stoichiometry = 262 meV per atom; DFT total energy = -2.64 eV per atom
1.0
-2.601 -1.904 2.687
-3.394 -2.009 -1.433
-0.173 -4.191 0.140
Sb Ag H
1 1 2
Cartesian
-3.084 -4.052 0.697
0.000 0.000 0.000
-1.542 -2.026 0.349
-4.626 -6.078 1.046

---

Record 4
Ag2SbH (PBE, optimized geometry); crystal system = tetragonal; energy above the lowest structure with this stoichiometry = 0 meV per atom; DFT total energy = -3.05 eV per atom
1.0
6.268 0.000 0.000
0.000 6.268 0.000
3.134 3.134 3.549
Sb Ag H
2 4 2
Cartesian
0.000 0.000 0.000
6.268 3.134 1.774
3.896 1.567 0.887
2.373 4.701 0.887
4.701 5.507 2.662
7.836 7.030 2.662
3.134 3.134 0.000
3.134 6.268 1.774

---

Record 5
AgSb2H (PBE, optimized geometry); crystal system = cubic; energy above the lowest structure with this stoichiometry = 166 meV per atom; DFT total energy = -3.13 eV per atom
1.0
0.000 3.387 3.387
3.387 0.000 3.387
3.387 3.387 0.000
Sb Ag H
2 1 1
Cartesian
1.694 1.694 1.694
5.081 5.081 5.081
3.387 3.387 3.387
0.000 0.000 0.000

---

Record 6
AgSb2H (PBE, optimized geometry); crystal system = tetragonal; energy above the lowest structure with this stoichiometry = 129 meV per atom; DFT total energy = -3.17 eV per atom
1.0
4.762 0.000 0.000
0.000 4.762 0.000
2.381 2.381 7.961
Sb Ag H
4 2 2
Cartesian
3.241 1.191 1.990
1.521 3.572 1.990
3.572 3.902 5.970
5.953 5.622 5.970
0.000 0.000 0.000
4.762 2.381 3.980
2.381 2.381 0.000
2.381 4.762 3.980

---

Record 7
Ag12Sb3H5 (PBE, optimized geometry); crystal system = cubic; DFT total energy = -2.95 eV per atom
1.0
11.980 0.000 0.000
-3.993 11.295 0.000
-3.993 -5.647 9.782
Sb H Ag
12 20 48
Cartesian
6.988 3.530 1.223
6.988 7.765 1.223
-0.998 4.942 6.114
0.998 -0.706 3.668
8.985 0.000 2.445
0.998 5.647 2.445
2.995 0.000 7.336
-4.992 5.647 7.336
2.995 6.353 6.114
4.992 0.706 3.668
-2.995 -2.118 8.559
-2.995 2.118 8.559
-0.998 2.824 2.445
-1.997 5.647 0.000
0.000 0.000 0.000
2.995 2.118 1.223
3.993 -2.824 4.891
3.993 5.647 0.000
-2.995 6.353 3.668
4.992 -3.530 8.559
4.992 4.942 3.668
0.998 -2.824 7.336
2.995 8.471 2.445
1.997 2.824 4.891
5.990 0.000 0.000
-1.997 -2.824 4.891
-0.998 0.706 6.114
-0.998 9.177 1.223
-3.993 2.824 4.891
6.988 -0.706 6.114
0.998 3.530 8.559
4.992 2.824 7.336
7.888 1.068 0.009
0.098 3.365 3.971
9.115 2.826 3.028
4.861 1.614 0.929
1.623 3.904 6.744
8.840 5.640 1.854
-1.129 6.859 3.957
-2.865 9.681 0.929
0.374 7.391 6.744
5.137 5.655 1.854
6.089 3.350 3.962
6.089 10.227 0.009
-3.620 4.969 4.900
2.850 4.046 0.934
-4.092 7.945 3.962
2.095 -2.282 5.811
-0.374 1.065 1.863
2.850 7.257 0.920
4.861 8.469 3.028
-0.853 4.038 0.920
-2.370 6.712 7.919
3.125 4.435 3.957
5.616 6.326 4.900
4.847 -1.601 8.848
0.868 1.212 5.824
-1.623 -0.678 4.882
-0.853 7.249 0.934
-0.868 -2.821 6.753
6.364 -1.065 1.863
4.847 1.609 8.862
1.143 -1.609 8.862
1.898 7.930 3.971
4.367 4.583 7.919
8.085 -2.298 5.820
7.613 0.678 4.882
-2.095 -4.580 9.773
1.143 1.601 8.848
3.620 -1.743 3.037
-1.143 -0.008 7.928
-2.095 2.298 5.820
6.858 -4.033 8.853
5.122 -1.212 5.824
-0.868 4.033 8.853
-4.847 0.008 7.928
2.370 1.743 3.037
-5.122 2.821 6.753
3.895 2.282 5.811
-3.895 4.580 9.773

---

Record 8
Ag2SbH (PBE, optimized geometry); crystal system = cubic; energy above the lowest structure with this stoichiometry = 345 meV per atom; DFT total energy = -2.70 eV per atom
1.0
-4.272 -1.166 1.482
-2.309 2.820 2.920
-3.725 2.378 -1.508
Sb Ag H
1 2 1
Cartesian
-5.153 2.016 1.447
-2.577 1.008 0.723
-7.730 3.024 2.170
0.000 0.000 0.000